A:
A relaxed structure of Nd2SeS2. Source: Alexandria via LeMat-Bulk, functional PBE.

```
data_Nd2SeS2
_chemical_formula_sum 'Nd4 Se2 S4'
_cell_length_a 8.4664
_cell_length_b 8.4664
_cell_length_c 7.5167
_cell_angle_alpha 90.00
_cell_angle_beta 90.00
_cell_angle_gamma 152.59
_symmetry_space_group_name_H-M 'P 1'
_symmetry_Int_Tables_number 1
loop_
_symmetry_equiv_pos_as_xyz
'x,y,z'
loop_
_atom_site_label
_atom_site_fract_x
_atom_site_fract_y
_atom_site_fract_z
Nd1 0.0432 0.9568 0.5000
Nd2 0.2915 0.7085 0.6074
Nd3 0.7085 0.2915 0.1074
Nd4 0.9568 0.0432 0.0000
Se1 0.1345 0.8655 0.8657
Se2 0.8655 0.1345 0.3657
S1 0.3229 0.6771 0.9886
S2 0.4630 0.5370 0.7096
S3 0.5370 0.4630 0.2096
S4 0.6771 0.3229 0.4886
```

Volume = 248.1 Å³ per cell
Space-group type = Cmc2_1

***

B:
A relaxed structure of Nd2SeS2. Source: Alexandria via LeMat-Bulk, functional PBE.

```
data_Nd2SeS2
_chemical_formula_sum 'Nd2 Se1 S2'
_cell_length_a 7.5663
_cell_length_b 7.5663
_cell_length_c 7.5663
_cell_angle_alpha 147.57
_cell_angle_beta 137.09
_cell_angle_gamma 54.79
_symmetry_space_group_name_H-M 'P 1'
_symmetry_Int_Tables_number 1
loop_
_symmetry_equiv_pos_as_xyz
'x,y,z'
loop_
_atom_site_label
_atom_site_fract_x
_atom_site_fract_y
_atom_site_fract_z
Nd1 0.1582 0.1582 0.0000
Nd2 0.8418 0.8418 0.0000
Se1 0.0000 0.5000 0.5000
S1 0.2976 0.7976 0.5000
S2 0.7024 0.2024 0.5000
```

Volume = 157.1 Å³ per cell
Space-group type = Immm

***

It is A that is the least stable of them.

***

A:
A relaxed structure of Nd3SeS2. Source: Alexandria via LeMat-Bulk, functional PBE.

```
data_Nd3SeS2
_chemical_formula_sum 'Nd3 Se1 S2'
_cell_length_a 7.1437
_cell_length_b 7.1437
_cell_length_c 7.1437
_cell_angle_alpha 146.43
_cell_angle_beta 131.81
_cell_angle_gamma 60.01
_symmetry_space_group_name_H-M 'P 1'
_symmetry_Int_Tables_number 1
loop_
_symmetry_equiv_pos_as_xyz
'x,y,z'
loop_
_atom_site_label
_atom_site_fract_x
_atom_site_fract_y
_atom_site_fract_z
Nd1 0.0000 0.0000 0.0000
Nd2 0.3235 0.3235 0.0000
Nd3 0.6765 0.6765 0.0000
Se1 0.5000 0.0000 0.5000
S1 0.1635 0.6635 0.5000
S2 0.8365 0.3365 0.5000
```

Volume = 148.9 Å³ per cell
Space-group type = Immm

***

B:
A relaxed structure of Nd3SeS2. Source: Alexandria via LeMat-Bulk, functional PBE.

```
data_Nd3SeS2
_chemical_formula_sum 'Nd6 Se2 S4'
_cell_length_a 7.2524
_cell_length_b 7.2524
_cell_length_c 10.8603
_cell_angle_alpha 90.00
_cell_angle_beta 90.00
_cell_angle_gamma 146.19
_symmetry_space_group_name_H-M 'P 1'
_symmetry_Int_Tables_number 1
loop_
_symmetry_equiv_pos_as_xyz
'x,y,z'
loop_
_atom_site_label
_atom_site_fract_x
_atom_site_fract_y
_atom_site_fract_z
Nd1 0.0966 0.9034 0.7500
Nd2 0.3566 0.6434 0.5562
Nd3 0.3566 0.6434 0.9438
Nd4 0.6434 0.3566 0.0562
Nd5 0.6434 0.3566 0.4438
Nd6 0.9034 0.0966 0.2500
Se1 0.2460 0.7540 0.2500
Se2 0.7540 0.2460 0.7500
S1 0.0000 0.0000 0.0000
S2 0.0000 0.0000 0.5000
S3 0.4766 0.5234 0.7500
S4 0.5234 0.4766 0.2500
```

Volume = 317.9 Å³ per cell
Space-group type = Cmcm

***

It is B that is the least stable of them.

***

A:
A relaxed structure of Nd2SiS5. Source: Alexandria via LeMat-Bulk, functional PBE.

```
data_Nd2SiS5
_chemical_formula_sum 'Nd8 Si4 S20'
_cell_length_a 7.5776
_cell_length_b 12.5219
_cell_length_c 7.8314
_cell_angle_alpha 90.00
_cell_angle_beta 101.21
_cell_angle_gamma 90.00
_symmetry_space_group_name_H-M 'P 1'
_symmetry_Int_Tables_number 1
loop_
_symmetry_equiv_pos_as_xyz
'x,y,z'
loop_
_atom_site_label
_atom_site_fract_x
_atom_site_fract_y
_atom_site_fract_z
Nd1 0.1607 0.1642 0.1293
Nd2 0.1607 0.3358 0.6293
Nd3 0.2390 0.5943 0.0426
Nd4 0.2390 0.9057 0.5426
Nd5 0.7610 0.0943 0.4574
Nd6 0.7610 0.4057 0.9574
Nd7 0.8393 0.6642 0.3707
Nd8 0.8393 0.8358 0.8707
Si1 0.3328 0.6165 0.5955
Si2 0.3328 0.8835 0.0955
Si3 0.6672 0.1165 0.9045
Si4 0.6672 0.3835 0.4045
S1 0.1286 0.7036 0.6956
S2 0.1286 0.7964 0.1956
S3 0.1365 0.1213 0.4945
S4 0.1365 0.3787 0.9945
S5 0.1738 0.5291 0.3859
S6 0.1738 0.9709 0.8859
S7 0.4207 0.0041 0.2819
S8 0.4207 0.4959 0.7819
S9 0.4727 0.2288 0.9492
S10 0.4727 0.2712 0.4492
S11 0.5273 0.7288 0.5508
S12 0.5273 0.7712 0.0508
S13 0.5793 0.5041 0.2181
S14 0.5793 0.9959 0.7181
S15 0.8262 0.0291 0.1141
S16 0.8262 0.4709 0.6141
S17 0.8635 0.6213 0.0055
S18 0.8635 0.8787 0.5055
S19 0.8714 0.2036 0.8044
S20 0.8714 0.2964 0.3044
```

Volume = 728.9 Å³ per cell
Space-group type = P2_1/c

***

B:
A relaxed structure of Nd2SiS5. Source: Alexandria via LeMat-Bulk, functional PBE.

```
data_Nd2SiS5
_chemical_formula_sum 'Nd2 Si1 S5'
_cell_length_a 6.2925
_cell_length_b 6.2925
_cell_length_c 6.2925
_cell_angle_alpha 115.40
_cell_angle_beta 115.40
_cell_angle_gamma 98.17
_symmetry_space_group_name_H-M 'P 1'
_symmetry_Int_Tables_number 1
loop_
_symmetry_equiv_pos_as_xyz
'x,y,z'
loop_
_atom_site_label
_atom_site_fract_x
_atom_site_fract_y
_atom_site_fract_z
Nd1 0.0000 0.5000 0.5000
Nd2 0.5000 0.0000 0.5000
Si1 0.2398 0.2398 0.0000
S1 0.0712 0.0712 0.5424
S2 0.0712 0.5288 0.0000
S3 0.5288 0.0712 0.0000
S4 0.5288 0.5288 0.4576
S5 0.9876 0.9876 0.0000
```

Volume = 186.4 Å³ per cell
Space-group type = I4mm

***

It is B that is the least stable of them.

***

A:
A relaxed structure of NdSmS. Source: Alexandria via LeMat-Bulk, functional PBE.

```
data_NdSmS
_chemical_formula_sum 'Nd2 Sm2 S2'
_cell_length_a 13.0610
_cell_length_b 13.0610
_cell_length_c 13.0610
_cell_angle_alpha 17.43
_cell_angle_beta 17.43
_cell_angle_gamma 17.43
_symmetry_space_group_name_H-M 'P 1'
_symmetry_Int_Tables_number 1
loop_
_symmetry_equiv_pos_as_xyz
'x,y,z'
loop_
_atom_site_label
_atom_site_fract_x
_atom_site_fract_y
_atom_site_fract_z
Nd1 0.1249 0.1249 0.1249
Nd2 0.8751 0.8751 0.8751
Sm1 0.3741 0.3741 0.3741
Sm2 0.6259 0.6259 0.6259
S1 0.2515 0.2515 0.2515
S2 0.7485 0.7485 0.7485
```

Volume = 174.5 Å³ per cell
Space-group type = R-3m

***

B:
A relaxed structure of NdSmS. Source: Alexandria via LeMat-Bulk, functional PBE.

```
data_NdSmS
_chemical_formula_sum 'Nd1 Sm1 S1'
_cell_length_a 3.9210
_cell_length_b 3.9210
_cell_length_c 6.5466
_cell_angle_alpha 90.00
_cell_angle_beta 90.00
_cell_angle_gamma 120.00
_symmetry_space_group_name_H-M 'P 1'
_symmetry_Int_Tables_number 1
loop_
_symmetry_equiv_pos_as_xyz
'x,y,z'
loop_
_atom_site_label
_atom_site_fract_x
_atom_site_fract_y
_atom_site_fract_z
Nd1 0.0000 0.0000 0.0000
Sm1 0.3333 0.6667 0.5170
S1 0.6667 0.3333 0.2638
```

Volume = 87.2 Å³ per cell
Space-group type = P3m1

***

It is B that is the least stable of them.